Here is a relaxed structure of Li3Fe3NiO8 from Alexandria via LeMat-Bulk. Energies are from PBE with a Hubbard U.

Structure (POSCAR):
```
Li3Fe3NiO8
1.0
5.056 -2.930 0.000
5.056 2.930 0.000
-3.398 0.000 4.854
Li Fe Ni O
3 3 1 8
direct
0.000 0.000 0.000 Li
0.000 0.500 0.000 Li
0.500 0.000 0.000 Li
0.000 0.000 0.500 Fe
0.000 0.500 0.500 Fe
0.500 0.000 0.500 Fe
0.500 0.500 0.500 Ni
0.222 0.761 0.718 O
0.232 0.232 0.720 O
0.239 0.778 0.282 O
0.251 0.251 0.285 O
0.749 0.749 0.715 O
0.761 0.222 0.718 O
0.768 0.768 0.280 O
0.778 0.239 0.282 O
```

Calculated total energy   -5.654 eV per atom
Fermi-level density of states   3.6 states/eV/cell
Distance to the lowest polymorph of the same formula   159 meV per atom
Calculated density   4330 kg/m³
Spin magnetization   9.0 μB/f.u.
SG   C2/m